# 1
First-principles (PBE) data for crystalline NiHIrRu2 at its relaxed geometry, as listed in the Alexandria database.

a = 3.8475 Å, b = 3.8475 Å, c = 3.8107 Å
α = 90.00°, β = 90.00°, γ = 90.00°
Sites, in units of the cell vectors:
1 H 0.0000 0.0000 0.0000
2 Ru 0.5000 0.0000 0.0000
3 Ru 0.0000 0.5000 0.0000
4 Ni 0.0000 0.0000 0.5000
5 Ir 0.5000 0.5000 0.5000

Properties
The magnetization comes out at 1.87 Bohr magnetons per cell. As for the total energy: -7.14 eV per atom. As for the space group: P4/mmm.

---

# 2
First-principles (PBE) data for crystalline NbBrCl4 at its relaxed geometry, as listed in the Alexandria database.

a = 9.9419 Å, b = 7.0114 Å, c = 5.9009 Å
α = 90.00°, β = 90.00°, γ = 64.20°
Sites, in units of the cell vectors:
1 Cl 0.2209 0.8585 0.2002
2 Cl 0.1128 0.6830 0.7456
3 Cl 0.7791 0.1415 0.7998
4 Cl 0.8872 0.8170 0.2456
5 Cl 0.1128 0.1830 0.7544
6 Cl 0.7791 0.6415 0.7002
7 Cl 0.2209 0.3585 0.2998
8 Cl 0.8872 0.3170 0.2544
9 Br 0.5000 0.0000 0.5000
10 Br 0.5000 0.5000 0.0000
11 Nb 0.0000 0.0000 0.0000
12 Nb 0.0000 0.5000 0.5000

Properties
The magnetization comes out at 0.17 Bohr magnetons per cell. The value obtained for the energy relative to the elements, uncorrected is -4.8 eV per formula unit. As for the space group: P2_1/c.

---

# 3
First-principles (PBE) data for crystalline BeTcSb2 at its relaxed geometry, as listed in the Alexandria database.

a = 5.8955 Å, b = 5.8955 Å, c = 7.1379 Å
α = 65.61°, β = 65.61°, γ = 90.00°
Sites, in units of the cell vectors:
1 Sb 0.6044 0.1250 0.2500
2 Sb 0.8750 0.8544 0.7500
3 Sb 0.3750 0.3956 0.7500
4 Sb 0.1456 0.6250 0.2500
5 Tc 0.7500 0.2500 0.5000
6 Tc 0.0000 0.0000 0.0000
7 Be 0.5000 0.5000 0.0000
8 Be 0.2500 0.7500 0.5000

Properties
The magnetization comes out at 2.16 Bohr magnetons per cell. The value obtained for the energy relative to the elements, uncorrected is 2.4 eV per formula unit. As for the space group: I-42d.

---

# 4
First-principles (PBE) data for crystalline Nd12In5Ag3 at its relaxed geometry, as listed in the Alexandria database.

a = 15.7466 Å, b = 15.7466 Å, c = 15.7466 Å
α = 109.47°, β = 109.47°, γ = 109.47°
Sites, in units of the cell vectors:
1 Ag 0.7500 0.3750 0.1250
2 Ag 0.3750 0.6250 0.2500
3 Ag 0.2500 0.6250 0.8750
4 Ag 0.6250 0.2500 0.3750
5 Ag 0.8750 0.7500 0.1250
6 Ag 0.3750 0.7500 0.6250
7 Ag 0.2500 0.1250 0.3750
8 Ag 0.7500 0.8750 0.6250
9 Ag 0.8750 0.1250 0.2500
10 Ag 0.1250 0.2500 0.8750
11 Ag 0.6250 0.3750 0.7500
12 Ag 0.1250 0.8750 0.7500
13 In 0.0000 0.0000 0.5000
14 In 0.5000 0.0000 0.5000
15 In 0.0000 0.0000 0.0000
16 In 0.7500 0.1250 0.8750
17 In 0.1250 0.3750 0.2500
18 In 0.3750 0.2500 0.1250
19 In 0.5000 0.5000 0.5000
20 In 0.6250 0.7500 0.8750
21 In 0.8750 0.2500 0.6250
22 In 0.5000 0.5000 0.0000
23 In 0.3750 0.1250 0.7500
24 In 0.6250 0.8750 0.2500
25 In 0.5000 0.0000 0.0000
26 In 0.1250 0.7500 0.3750
27 In 0.7500 0.6250 0.3750
28 In 0.0000 0.5000 0.0000
29 In 0.8750 0.6250 0.7500
30 In 0.2500 0.3750 0.6250
31 In 0.0000 0.5000 0.5000
32 In 0.2500 0.8750 0.1250
33 Nd 0.8632 0.5910 0.9282
34 Nd 0.0910 0.9282 0.3632
35 Nd 0.0718 0.1628 0.4350
36 Nd 0.6368 0.0650 0.2277
37 Nd 0.0910 0.1628 0.2277
38 Nd 0.8632 0.2723 0.4350
39 Nd 0.5910 0.7277 0.6628
40 Nd 0.2277 0.6628 0.0910
41 Nd 0.6628 0.4350 0.5718
42 Nd 0.5910 0.8632 0.4282
43 Nd 0.6628 0.2277 0.5910
44 Nd 0.8372 0.9282 0.0650
45 Nd 0.7277 0.5910 0.1628
46 Nd 0.1628 0.0910 0.7277
47 Nd 0.1628 0.0718 0.9350
48 Nd 0.1368 0.7277 0.5650
49 Nd 0.0650 0.6368 0.7277
50 Nd 0.4282 0.3632 0.5910
51 Nd 0.9090 0.8372 0.7723
52 Nd 0.6368 0.5718 0.9090
53 Nd 0.9282 0.8372 0.5650
54 Nd 0.5650 0.2277 0.1368
55 Nd 0.3632 0.9350 0.7723
56 Nd 0.0650 0.4282 0.8372
57 Nd 0.5718 0.6368 0.4091
58 Nd 0.2723 0.4091 0.8372
59 Nd 0.5718 0.9350 0.6628
60 Nd 0.3372 0.5650 0.4282
61 Nd 0.9350 0.3632 0.2723
62 Nd 0.4350 0.7723 0.8632
63 Nd 0.2723 0.8632 0.9350
64 Nd 0.3632 0.4282 0.0910
65 Nd 0.4350 0.6628 0.0718
66 Nd 0.7277 0.1368 0.0650
67 Nd 0.4091 0.2723 0.3372
68 Nd 0.5650 0.3372 0.9282
69 Nd 0.9282 0.0910 0.8632
70 Nd 0.9090 0.0718 0.6368
71 Nd 0.9350 0.5718 0.1628
72 Nd 0.7723 0.3372 0.9090
73 Nd 0.1368 0.4091 0.0718
74 Nd 0.4282 0.0650 0.3372
75 Nd 0.7723 0.4350 0.3632
76 Nd 0.2277 0.5650 0.6368
77 Nd 0.8372 0.9090 0.2723
78 Nd 0.3372 0.7723 0.4091
79 Nd 0.0718 0.9090 0.1368
80 Nd 0.4091 0.1368 0.5718

Properties
The magnetization comes out at 0.00 Bohr magnetons per cell. The value obtained for the formation energy is 0.253 eV/atom. As for the space group: Ia-3d.